An optimized crystal structure of Sr5PuSb4. Source: Alexandria, functional GGA-PBE.

total moment = 6.0 μB/f.u.
ΔE_f (raw) = -0.799 eV per atom
volume = 419 Å³/f.u.

Structure (POSCAR):
```
Sr5PuSb4
1.0
4.870 0.000 0.000
0.000 8.754 -1.462
-2.435 -2.763 10.291
Sr Pu Sb
5 1 4
Direct
0.834 0.066 0.668
0.166 0.934 0.332
0.834 0.601 0.668
0.500 0.500 0.000
0.166 0.399 0.332
0.500 0.000 0.000
0.293 0.792 0.585
0.000 0.242 0.000
0.000 0.758 0.000
0.707 0.208 0.415
```

An optimized crystal structure of SrPuSb. Source: Alexandria, functional GGA-PBE.

total moment = 7.0 μB/f.u.
ΔE_f (raw) = -0.676 eV per atom
relative energy among the computed polymorphs = 0.000 eV per atom
volume = 98 Å³/f.u.

Structure (POSCAR):
```
SrPuSb
1.0
4.645 0.000 0.614
0.000 4.683 0.000
-1.175 0.000 8.888
Sr Pu Sb
2 2 2
Direct
0.750 0.250 0.852
0.250 0.750 0.148
0.250 0.250 0.500
0.750 0.750 0.500
0.250 0.750 0.761
0.750 0.250 0.239
```

An optimized crystal structure of SrPuSb. Source: Alexandria, functional GGA-PBE.

total moment = 6.7 μB/f.u.
ΔE_f (raw) = -0.244 eV per atom
relative energy among the computed polymorphs = 0.432 eV per atom
volume = 106 Å³/f.u.

Structure (POSCAR):
```
SrPuSb
1.0
-1.534 -4.037 0.026
4.859 -1.839 1.112
-3.320 1.287 3.944
Sr Pu Sb
1 1 1
Direct
0.667 0.333 0.667
0.167 0.667 0.333
0.166 0.000 0.000
```

An optimized crystal structure of SrPuSb. Source: Alexandria, functional GGA-PBE.

total moment = 7.0 μB/f.u.
ΔE_f (raw) = -0.365 eV per atom
relative energy among the computed polymorphs = 0.311 eV per atom
volume = 97 Å³/f.u.

Structure (POSCAR):
```
SrPuSb
1.0
-2.300 1.795 -2.918
1.493 -2.638 -2.800
-3.874 -3.208 3.998
Sb Pu Sr
1 1 1
Direct
0.268 0.268 0.537
0.646 0.646 0.293
0.935 0.935 0.870
```

An optimized crystal structure of PuTaSb. Source: Alexandria, functional GGA-PBE.

total moment = 5.6 μB/f.u.
ΔE_f (raw) = 0.253 eV per atom
volume = 81 Å³/f.u.

Structure (POSCAR):
```
PuTaSb
1.0
-2.463 -0.725 3.978
1.112 -3.615 2.848
4.873 3.499 6.473
Sb Ta Pu
2 2 2
Direct
0.939 0.939 0.182
0.061 0.061 0.818
0.677 0.677 0.968
0.323 0.323 0.032
0.557 0.557 0.329
0.443 0.443 0.671
```

An optimized crystal structure of PuTaSb2. Source: Alexandria, functional GGA-PBE.

total moment = 6.7 μB/f.u.
ΔE_f (raw) = 0.145 eV per atom
volume = 106 Å³/f.u.

Structure (POSCAR):
```
PuTaSb2
1.0
-1.350 -2.876 -1.215
1.360 -1.494 -2.736
6.367 -7.077 4.917
Sb Pu Ta
2 1 1
Direct
0.898 0.898 0.305
0.102 0.102 0.695
0.000 0.000 0.000
0.500 0.500 0.500
```

An optimized crystal structure of TbPu2Sb. Source: Alexandria, functional GGA-PBE.

total moment = 12.1 μB/f.u.
ΔE_f (raw) = -0.409 eV per atom
volume = 105 Å³/f.u.

Structure (POSCAR):
```
TbPu2Sb
1.0
-2.966 4.095 -0.031
-3.520 -2.560 -1.362
-1.118 -0.777 4.352
Sb Pu Tb
1 2 1
Direct
0.500 0.000 0.000
0.000 0.000 0.500
0.000 0.500 0.000
0.500 0.500 0.500
```

An optimized crystal structure of TbPuSb. Source: Alexandria, functional GGA-PBE.

total moment = 7.0 μB/f.u.
ΔE_f (raw) = -0.499 eV per atom
volume = 83 Å³/f.u.

Structure (POSCAR):
```
TbPuSb
1.0
5.302 -0.903 0.000
-1.858 5.047 0.000
0.000 0.000 6.590
Sb Pu Tb
2 2 2
Direct
0.667 0.333 0.250
0.333 0.667 0.750
0.334 0.666 0.250
0.666 0.334 0.750
0.000 0.000 0.000
0.000 0.000 0.500
```